Material: BaErInS4
Method: DFT, GGA-PBE
State: optimized geometry

uncorrected formation energy: -10.3 eV per formula unit
VASP energy: -72.1 eV per cell
M_tot: 0.00 μB/cell

a = 6.854 Å, b = 6.960 Å, c = 8.498 Å
α = 90.00°, β = 107.19°, γ = 90.00°
Sites, in units of the cell vectors:
1 S 0.495 0.250 0.398
2 S 0.989 0.008 0.289
3 Ba 0.241 0.250 0.051
4 S 0.505 0.750 0.602
5 Er 0.203 0.250 0.550
6 S 0.011 0.992 0.711
7 S 0.535 0.250 0.847
8 S 0.011 0.508 0.711
9 Ba 0.759 0.750 0.949
10 In 0.253 0.750 0.336
11 S 0.465 0.750 0.153
12 In 0.747 0.250 0.664
13 Er 0.797 0.750 0.450
14 S 0.989 0.492 0.289